La2Al4Zn3Ga: relaxed, PBE-GGA.

Cell and atoms, written as POSCAR:
```
La2Al4Zn3Ga
1.0
4.350 0.000 0.000
0.000 4.350 0.000
0.000 0.000 10.711
La Al Zn Ga
2 4 3 1
direct
0.000 0.500 0.248 La
0.500 0.000 0.752 La
0.000 0.000 0.500 Al
0.000 0.500 0.866 Al
0.500 0.000 0.134 Al
0.500 0.500 0.500 Al
0.000 0.000 0.000 Zn
0.000 0.500 0.634 Zn
0.500 0.000 0.366 Zn
0.500 0.500 0.000 Ga
```

The formation enthalpy at 0 K is -0.454 eV/atom.

=====

Ce18C18Cl11: relaxed, PBE-GGA.

Cell and atoms, written as POSCAR:
```
Ce18C18Cl11
1.0
6.661 0.000 0.000
-1.780 7.378 0.000
-3.067 -0.794 18.517
Ce C Cl
18 18 11
direct
0.000 0.042 0.227 Ce
0.000 0.958 0.773 Ce
0.090 0.139 0.439 Ce
0.130 0.816 0.988 Ce
0.170 0.312 0.655 Ce
0.263 0.678 0.205 Ce
0.305 0.253 0.904 Ce
0.369 0.775 0.455 Ce
0.431 0.113 0.116 Ce
0.453 0.948 0.673 Ce
0.547 0.052 0.327 Ce
0.569 0.887 0.884 Ce
0.631 0.225 0.545 Ce
0.695 0.747 0.096 Ce
0.737 0.322 0.795 Ce
0.830 0.688 0.345 Ce
0.870 0.184 0.012 Ce
0.910 0.861 0.561 Ce
0.024 0.993 0.088 C
0.103 0.861 0.128 C
0.167 0.941 0.356 C
0.196 0.820 0.305 C
0.255 0.114 0.577 C
0.293 0.976 0.535 C
0.332 0.184 0.754 C
0.409 0.070 0.804 C
0.461 0.067 0.980 C
0.539 0.933 0.020 C
0.591 0.930 0.196 C
0.668 0.816 0.246 C
0.707 0.024 0.465 C
0.745 0.886 0.423 C
0.804 0.180 0.695 C
0.833 0.059 0.644 C
0.897 0.139 0.872 C
0.976 0.007 0.912 C
0.000 0.500 0.500 Cl
0.067 0.671 0.682 Cl
0.162 0.611 0.859 Cl
0.282 0.460 0.048 Cl
0.391 0.326 0.236 Cl
0.475 0.401 0.413 Cl
0.525 0.599 0.587 Cl
0.609 0.674 0.764 Cl
0.718 0.540 0.952 Cl
0.838 0.389 0.141 Cl
0.933 0.329 0.318 Cl
```

The energy relative to the elements, uncorrected comes out at -979 meV/atom.

=====

MnSbCl: relaxed, PBE-GGA.

Cell and atoms, written as POSCAR:
```
MnSbCl
1.0
-1.580 1.580 7.501
1.580 -1.580 7.501
1.580 1.580 -7.501
Mn Sb Cl
1 1 1
direct
0.000 0.000 0.000 Mn
0.359 0.359 0.000 Sb
0.595 0.595 0.000 Cl
```

The value obtained for the distance to the lowest polymorph of the same formula is 0.166 eV/atom. The energy relative to the elements, uncorrected comes out at -198 meV/atom.

=====

PdPt3: relaxed, PBE-GGA.

Cell and atoms, written as POSCAR:
```
PdPt3
1.0
0.000 3.157 3.157
3.157 0.000 3.157
3.157 3.157 0.000
Pd Pt
1 3
direct
0.000 0.000 0.000 Pd
0.250 0.250 0.250 Pt
0.500 0.500 0.500 Pt
0.750 0.750 0.750 Pt
```

The formation enthalpy at 0 K is 0.063 eV/atom.

=====

For the records above, the corresponding size of the total moment values read 0.0; 5.9; 4.2; 0.0 μB per formula unit.
For the records above, the corresponding theoretical density values read 5340; 5709; 4706; 18244 kg/m³.